# 1
Material: NaTa3Se6
Method: DFT, PBE-GGA
State: relaxed

Computed properties:
N(E_F) ... 6.33 states/eV per cell
Space-group type ... P2_1/m (11)
VASP energy ... -6.593 eV/atom

POSCAR file:
```
NaTa3Se6
1.0
11.287 0.000 0.000
0.000 3.484 0.000
-1.803 0.000 14.594
Na Ta Se
2 6 12
direct
0.182 0.250 0.489
0.818 0.750 0.511
0.042 0.750 0.921
0.129 0.250 0.741
0.470 0.750 0.573
0.530 0.250 0.427
0.871 0.750 0.259
0.958 0.250 0.079
0.061 0.750 0.615
0.067 0.750 0.200
0.166 0.250 0.025
0.249 0.750 0.843
0.354 0.250 0.659
0.356 0.750 0.406
0.644 0.250 0.594
0.646 0.750 0.341
0.751 0.250 0.157
0.834 0.750 0.975
0.933 0.250 0.800
0.939 0.250 0.385
```

***

# 2
Material: Na2Ta2Se5
Method: DFT, PBE-GGA
State: relaxed

Computed properties:
N(E_F) ... 3.20 states/eV per cell
Space-group type ... C2/m (12)
VASP energy ... -5.533 eV/atom

POSCAR file:
```
Na2Ta2Se5
1.0
7.471 -2.514 0.000
7.471 2.514 0.000
-0.837 0.000 7.278
Na Ta Se
2 2 5
direct
0.151 0.151 0.366
0.849 0.849 0.634
0.353 0.353 0.112
0.647 0.647 0.888
0.184 0.184 0.967
0.362 0.362 0.440
0.500 0.500 0.000
0.638 0.638 0.560
0.816 0.816 0.033
```

***

# 3
Material: Na3Tb3TaSe8
Method: DFT, PBE-GGA
State: relaxed

Computed properties:
N(E_F) ... 4.11 states/eV per cell
Space-group type ... R-3m (166)
VASP energy ... -5.297 eV/atom

POSCAR file:
```
Na3Tb3TaSe8
1.0
4.053 2.340 7.133
-4.053 2.340 7.133
0.000 -4.680 7.133
Na Tb Ta Se
3 3 1 8
direct
0.000 0.500 0.500
0.500 0.000 0.500
0.500 0.500 0.000
0.000 0.000 0.500
0.000 0.500 0.000
0.500 0.000 0.000
0.500 0.500 0.500
0.244 0.244 0.244
0.263 0.727 0.727
0.273 0.273 0.737
0.273 0.737 0.273
0.727 0.263 0.727
0.727 0.727 0.263
0.737 0.273 0.273
0.756 0.756 0.756
```

***

# 4
Material: Na2TaTi2Se6
Method: DFT, PBE-GGA
State: relaxed

Computed properties:
N(E_F) ... 7.06 states/eV per cell
Space-group type ... C2/m (12)
VASP energy ... -5.717 eV/atom

POSCAR file:
```
Na2TaTi2Se6
1.0
3.128 -5.423 0.000
3.128 5.423 0.000
-2.078 0.000 7.356
Na Ta Ti Se
2 1 2 6
direct
0.165 0.835 0.000
0.835 0.165 0.000
0.000 0.000 0.500
0.333 0.667 0.500
0.667 0.333 0.500
0.073 0.406 0.713
0.267 0.267 0.287
0.406 0.073 0.713
0.594 0.927 0.287
0.733 0.733 0.713
0.927 0.594 0.287
```

***

# 5
Material: Na2TaTiSe
Method: DFT, PBE-GGA
State: relaxed

Computed properties:
N(E_F) ... 12.75 states/eV per cell
Space-group type ... P4/mmm (123)
VASP energy ... -3.861 eV/atom

POSCAR file:
```
Na2TaTiSe
1.0
5.842 0.000 0.000
0.000 5.842 0.000
0.000 0.000 4.810
Na Ta Ti Se
2 1 1 1
direct
0.000 0.500 0.000
0.500 0.000 0.000
0.000 0.000 0.000
0.500 0.500 0.500
0.000 0.000 0.500
```

***

# 6
Material: Na2TaTlSe4
Method: DFT, PBE-GGA
State: relaxed

Computed properties:
N(E_F) ... 0.00 states/eV per cell
Space-group type ... I-42m (121)
VASP energy ... -4.692 eV/atom

POSCAR file:
```
Na2TaTlSe4
1.0
-3.858 3.858 4.207
3.858 -3.858 4.207
3.858 3.858 -4.207
Na Ta Tl Se
2 1 1 4
direct
0.250 0.750 0.500
0.750 0.250 0.500
0.000 0.000 0.000
0.500 0.500 0.000
0.013 0.013 0.361
0.348 0.987 0.000
0.652 0.652 0.639
0.987 0.348 0.000
```